No. 1
A plane-wave DFT calculation with PBE was carried out for crystalline HfCuBPd at its relaxed geometry.

Structure (POSCAR):
```
HfCuBPd
1.0
0.000 3.039 3.039
3.039 0.000 3.039
3.039 3.039 0.000
Hf Pd B Cu
1 1 1 1
direct
0.250 0.250 0.250
0.500 0.500 0.500
0.000 0.000 0.000
0.750 0.750 0.750
```

- Theoretical density: 10628 kg/m3
- Volume: 14.0 A^3/atom
- Energy above the lowest structure with this stoichiometry: 126 meV/atom
- E: -0.2327 Ha/atom


No. 2
A plane-wave DFT calculation with PBE was carried out for crystalline NdDy2Mg3AgAu2 at its relaxed geometry.

Structure (POSCAR):
```
NdDy2Mg3AgAu2
1.0
4.021 0.000 0.000
0.000 6.784 3.890
0.000 -6.784 3.890
Nd Au Ag Mg Dy
1 2 1 3 2
direct
0.000 0.586 0.586
0.500 0.669 0.327
0.500 0.327 0.669
0.000 0.003 0.003
0.500 0.247 0.247
0.500 0.003 0.751
0.500 0.751 0.003
0.000 0.414 0.000
0.000 0.000 0.414
```

- Theoretical density: 8170 kg/m3
- Volume: 23.6 A^3/atom
- E: -0.1343 Ha/atom


No. 3
A plane-wave DFT calculation with PBE was carried out for crystalline PmCoSi at its relaxed geometry.

Structure (POSCAR):
```
PmCoSi
1.0
0.318 -3.502 -2.932
-1.941 -4.020 1.017
-3.702 -1.402 -2.301
Pm Co Si
1 1 1
direct
0.000 0.000 0.000
0.250 0.250 0.250
0.750 0.750 0.750
```

- Theoretical density: 5677 kg/m3
- Volume: 22.6 A^3/atom
- Energy above the lowest structure with this stoichiometry: 1365 meV/atom
- E: -0.1873 Ha/atom


No. 4
A plane-wave DFT calculation with PBE was carried out for crystalline ErNbAsO at its relaxed geometry.

Structure (POSCAR):
```
ErNbAsO
1.0
3.778 0.000 0.000
0.000 7.021 0.000
0.000 0.000 5.703
As Nb O Er
2 2 2 2
direct
0.000 0.222 0.375
0.000 0.778 0.875
0.500 0.994 0.124
0.500 0.006 0.624
0.500 0.232 0.889
0.500 0.768 0.389
0.000 0.356 0.866
0.000 0.644 0.366
```

- Theoretical density: 7709 kg/m3
- Volume: 18.9 A^3/atom
- Energy above the lowest structure with this stoichiometry: 395 meV/atom
- E: -0.2786 Ha/atom